[1]
A PBEsol-optimized structure of CsZn2Ga2. Source: Alexandria, functional meta-GGA SCAN.

Cell and atoms, written as extended XYZ:
```
5
Lattice="4.388 0.000 0.000 0.000 4.388 0.000 -2.194 -2.194 6.630" Properties=species:S:1:pos:R:3 pbc="T T T"
Cs 0.000 0.000 0.000
Zn 0.000 2.194 3.315
Zn 2.194 0.000 3.315
Ga 0.000 0.000 4.575
Ga 2.194 2.194 2.055
```

Results
VASP energy: -19.513 eV per atom
DFT formation energy: -0.006 eV/atom


[2]
A PBEsol-optimized structure of CsGdHgSe3. Source: Alexandria, functional meta-GGA SCAN.

Cell and atoms, written as extended XYZ:
```
12
Lattice="4.240 0.000 0.000 -2.120 7.908 0.000 0.000 0.000 10.973" Properties=species:S:1:pos:R:3 pbc="T T T"
Cs 2.120 3.888 2.743
Cs 0.000 4.020 8.229
Gd 0.000 0.000 5.486
Gd 0.000 0.000 0.000
Hg 2.120 0.691 8.229
Hg 0.000 7.217 2.743
Se 2.120 6.903 8.229
Se 0.000 1.005 2.743
Se 0.000 5.975 5.023
Se 0.000 5.975 0.463
Se 2.120 1.933 10.509
Se 2.120 1.933 5.950
```

Results
VASP energy: -38.900 eV per atom


[3]
A PBEsol-optimized structure of CsGdP4O12. Source: Alexandria, functional meta-GGA SCAN.

Cell and atoms, written as extended XYZ:
```
72
Lattice="8.952 0.000 0.000 0.000 10.358 0.014 0.000 -3.194 10.714" Properties=species:S:1:pos:R:3 pbc="T T T"
Cs 3.904 5.621 4.928
Cs 5.048 1.544 5.800
Cs 0.572 -1.155 10.278
Cs 8.380 8.320 0.450
Gd 6.926 8.157 7.324
Gd 2.026 -0.993 3.403
Gd 6.501 4.575 1.961
Gd 2.450 2.590 8.767
P 2.925 4.341 1.421
P 7.988 5.465 5.088
P 7.401 -0.759 3.943
P 0.250 5.436 7.673
P 3.512 8.476 0.290
P 5.298 8.066 2.614
P 1.551 7.924 6.784
P 0.964 1.700 5.640
P 6.027 2.823 9.307
P 8.129 1.290 7.963
P 8.701 1.729 3.055
P 3.654 -0.901 8.114
P 0.822 5.875 2.764
P 4.726 5.311 8.418
P 4.225 1.854 2.309
P 5.440 -1.311 10.437
O 8.580 5.649 1.892
O 7.097 2.525 8.127
O 5.901 4.422 9.089
O 7.066 4.570 4.318
O 4.201 5.034 1.780
O 2.187 8.107 5.447
O 3.731 4.392 7.768
O 8.560 4.690 6.386
O 5.956 3.209 0.179
O 2.590 9.371 1.060
O 3.051 2.743 1.638
O 4.848 -1.127 7.241
O 7.527 0.840 3.725
O 4.914 8.285 1.073
O 2.996 3.956 10.549
O 1.586 7.151 2.620
O 2.621 -2.137 7.950
O 7.472 6.791 5.543
O 0.867 4.385 8.534
O 8.085 2.780 2.193
O 1.855 4.639 2.600
O 4.038 -1.120 9.654
O 4.104 8.292 3.486
O 1.425 6.325 7.002
O 4.751 2.131 8.948
O 0.392 2.474 4.341
O 8.514 1.509 6.423
O 0.372 1.516 8.836
O 8.677 8.907 3.598
O 0.745 0.810 2.405
O 6.765 -0.943 5.281
O 5.343 6.362 7.557
O 1.886 2.595 6.410
O 1.480 0.373 5.185
O 7.366 0.014 8.107
O 8.207 6.355 8.323
O 2.289 4.525 0.083
O 6.663 2.640 10.645
O 6.331 9.301 2.777
O 6.362 -2.206 9.668
O 0.438 5.656 4.304
O 2.890 0.375 7.970
O 4.084 6.057 9.705
O 4.868 1.108 1.023
O 6.062 6.790 2.757
O 5.221 2.773 2.959
O 0.275 -1.742 7.129
O 3.609 0.802 3.170
```

Results
VASP energy: -14.554 eV per atom


[4]
A PBEsol-optimized structure of Cs3GdP2O8. Source: Alexandria, functional meta-GGA SCAN.

Cell and atoms, written as extended XYZ:
```
56
Lattice="-2.574 1.601 -9.894 -3.674 -9.656 -0.607 -8.210 2.749 5.967" Properties=species:S:1:pos:R:3 pbc="T T T"
Cs -10.216 2.835 -1.253
Cs -3.154 -5.281 -3.101
Cs -10.288 -3.606 -0.970
Cs -3.682 -0.416 -3.483
Cs -8.270 -5.164 3.232
Cs -6.048 0.227 -7.743
Cs -6.401 -2.907 -0.826
Cs -9.794 -6.963 -3.995
Cs -6.860 1.365 4.597
Cs -6.395 -3.508 -8.932
Cs -5.385 1.833 0.710
Cs -7.350 -2.609 -4.959
Gd -10.613 -0.565 -3.601
Gd -5.208 -8.321 -1.158
Gd -8.771 0.011 1.416
Gd -5.995 -6.125 -6.001
P -7.027 -2.069 2.643
P -8.626 -6.377 -7.375
P -11.973 -5.990 1.367
P -3.903 -3.043 -6.135
P -7.981 -0.217 -2.240
P -6.889 -6.171 -2.362
P -2.042 -2.335 -1.054
P -12.685 -3.676 -3.525
O -9.839 -0.666 -5.722
O -5.942 -8.115 0.970
O -8.386 -2.266 1.874
O -7.772 -7.508 -6.689
O -5.955 -3.056 2.170
O -10.102 -6.450 -6.968
O -8.757 -1.547 -2.561
O -7.203 -7.706 -2.221
O -6.546 -0.290 -2.759
O -8.032 -5.331 -1.794
O -8.831 0.889 -2.955
O -5.550 -5.993 -1.566
O -7.985 0.016 -0.699
O -6.668 -5.833 -3.867
O -10.506 -5.553 1.384
O -4.710 -1.745 -6.043
O -8.429 2.230 1.371
O -4.783 -4.259 -5.698
O -4.606 -7.785 -5.505
O -10.889 -0.245 0.800
O -4.368 -8.730 -3.184
O -11.596 -0.534 -1.599
O -1.980 -0.862 -0.528
O -11.734 -2.486 -3.882
O -9.627 0.346 3.492
O -5.046 -6.217 -8.061
O -11.949 1.167 -4.012
O -3.078 -7.967 -0.616
O -3.488 -2.833 -1.064
O -11.934 -5.005 -3.629
O -6.651 -0.577 2.334
O -7.932 -5.056 -6.888
```

Results
VASP energy: -20.158 eV per atom


[5]
A PBEsol-optimized structure of CsGdW2O8. Source: Alexandria, functional meta-GGA SCAN.

Cell and atoms, written as extended XYZ:
```
24
Lattice="-4.774 5.579 1.705 -0.889 1.694 7.333 7.413 1.500 0.480" Properties=species:S:1:pos:R:3 pbc="T T T"
Cs 1.649 6.745 7.542
Cs 0.101 2.029 1.976
Gd -2.099 4.910 3.054
Gd 3.848 3.864 6.464
W -2.070 5.945 6.519
W 3.819 2.828 2.999
W 1.377 5.591 3.786
W 0.372 3.183 5.732
O -0.548 4.979 6.648
O 2.298 3.794 2.870
O 0.755 6.997 4.734
O 0.994 1.776 4.784
O 0.384 5.894 2.269
O 1.366 2.880 7.249
O -3.067 4.667 5.652
O 4.816 4.107 3.866
O -1.883 6.657 4.575
O 3.633 2.117 4.943
O -0.150 4.223 4.123
O 1.900 4.551 5.395
O -2.589 5.834 8.246
O 4.338 2.940 1.272
O 3.014 6.250 3.398
O -1.265 2.523 6.121
```

Results
VASP energy: -26.511 eV per atom


[6]
A PBEsol-optimized structure of CsGdSiS4. Source: Alexandria, functional meta-GGA SCAN.

Cell and atoms, written as extended XYZ:
```
28
Lattice="6.328 0.000 0.000 0.000 6.615 0.000 0.000 0.000 17.545" Properties=species:S:1:pos:R:3 pbc="T T T"
Cs 3.076 3.256 8.211
Cs 0.088 3.359 16.983
Cs 6.240 0.052 9.334
Cs 3.252 6.563 0.561
Gd 5.015 0.136 4.775
Gd 1.313 3.443 3.997
Gd 1.851 3.172 12.770
Gd 4.476 6.479 13.547
Si 4.489 3.195 2.928
Si 1.325 0.112 14.617
Si 1.839 6.503 5.845
Si 5.003 3.420 11.700
S 2.503 4.958 14.840
S 3.583 4.967 11.321
S 2.464 6.138 3.847
S 0.351 3.394 10.431
S 3.864 2.831 4.926
S 0.700 0.477 12.619
S 0.661 1.657 6.068
S 5.667 4.964 2.705
S 0.419 4.956 6.223
S 5.977 0.086 15.886
S 2.745 1.659 14.996
S 5.908 1.648 2.549
S 5.628 3.784 13.698
S 3.514 6.529 7.113
S 3.825 1.651 11.477
S 2.813 3.221 1.659
```

Results
VASP energy: -22.378 eV per atom


[7]
A PBEsol-optimized structure of CsGdTe4. Source: Alexandria, functional meta-GGA SCAN.

Cell and atoms, written as extended XYZ:
```
12
Lattice="-0.159 -6.198 2.715 6.542 0.553 1.645 -2.407 3.709 8.326" Properties=species:S:1:pos:R:3 pbc="T T T"
Cs 3.191 -2.823 2.180
Cs 0.000 0.000 0.000
Gd 1.988 -0.968 6.343
Gd -1.203 1.854 4.163
Te 4.785 -0.579 4.908
Te 3.363 -3.791 5.928
Te 1.546 0.416 3.529
Te 0.125 -2.796 4.548
Te 2.542 2.018 7.243
Te 3.804 -0.968 8.937
Te -0.762 0.470 6.977
Te 0.501 -2.516 8.672
```

Results
VASP energy: -42.001 eV per atom


[8]
A PBEsol-optimized structure of CsGe. Source: Alexandria, functional meta-GGA SCAN.

Cell and atoms, written as extended XYZ:
```
32
Lattice="11.300 0.000 0.000 -5.650 10.787 -0.006 0.000 5.924 9.623" Properties=species:S:1:pos:R:3 pbc="T T T"
Cs -2.825 12.640 7.387
Cs 2.825 10.945 4.633
Cs 9.683 3.437 1.201
Cs 1.617 6.399 6.013
Cs 2.825 13.907 9.444
Cs -2.825 9.678 2.576
Cs 7.267 6.399 6.013
Cs 4.033 3.437 1.201
Cs 1.350 10.544 8.364
Cs -1.350 9.128 6.064
Cs 9.950 3.670 5.961
Cs 1.350 2.254 3.661
Cs 4.300 5.216 8.473
Cs 7.000 0.708 1.150
Cs 7.000 6.166 1.253
Cs 4.300 7.582 3.553
Ge 4.551 4.088 4.899
Ge 6.749 3.391 3.767
Ge 6.749 9.407 8.259
Ge 4.551 8.710 7.127
Ge 4.985 10.585 1.409
Ge -4.985 15.357 9.160
Ge -0.665 7.076 0.989
Ge 0.665 8.228 2.860
Ge 1.099 5.748 2.316
Ge -1.099 6.445 3.447
Ge 10.201 6.353 8.578
Ge 1.099 1.126 0.087
Ge 6.315 10.038 5.800
Ge 4.985 11.190 7.671
Ge 0.665 13.547 6.220
Ge -0.665 12.395 4.349
```

Results
VASP energy: -28.732 eV per atom
DFT formation energy: -0.283 eV/atom